[1]
## ScTlZn2 (PBE-GGA)

Data for ScTlZn2 after structural relaxation.

Unit cell a=9.8436 b=3.4521 c=5.0161 alpha=90.00 beta=107.60 gamma=90.00
With the nearest neighbours (Å) after each atom.
Fractional positions:
Sc1 0.0000 0.0000 0.0000  7 Zn 2.95-3.16, 3 Tl 3.01-3.12
Sc2 0.5000 0.5000 0.0000  7 Zn 2.95-3.16, 3 Tl 3.01-3.12
Tl1 0.2301 0.0000 0.7182  7 Zn 3.00-3.11, 3 Sc 3.01-3.12
Tl2 0.7301 0.5000 0.7182  7 Zn 3.00-3.11, 3 Sc 3.01-3.12
Zn1 0.2525 0.5000 0.2451  2 Zn 2.72, 3 Sc 2.97-3.04, 2 Tl 3.00
Zn2 0.4727 0.0000 0.4579  2 Zn 2.72, 2 Sc 2.95, 3 Tl 3.02-3.05
Zn3 0.7525 0.0000 0.2451  2 Zn 2.72, 3 Sc 2.97-3.04, 2 Tl 3.00
Zn4 0.9727 0.5000 0.4579  2 Zn 2.72, 2 Sc 2.95, 3 Tl 3.02-3.05

Results
- Symmetry: No. 8
- Energy above the lowest structure with this stoichiometry: 123 meV/atom
- DOS at the Fermi energy: 2.05 states/eV/f.u.

=====

[2]
## Pr3HgTe2 (PBE-GGA)

Data for Pr3HgTe2 after structural relaxation.

Unit cell a=4.4094 b=6.4002 c=13.8563 alpha=90.00 beta=90.00 gamma=90.00
With the nearest neighbours (Å) after each atom.
Fractional positions:
Pr1 0.0000 0.0000 0.0000  4 Te 3.20, 2 Hg 3.20
Pr2 0.0000 0.0000 0.3334  4 Te 3.19-3.20, 2 Hg 3.19
Pr3 0.0000 0.0000 0.6666  4 Te 3.19-3.20, 2 Hg 3.19
Pr4 0.5000 0.5000 0.1666  4 Te 3.19-3.20, 2 Hg 3.19
Pr5 0.5000 0.5000 0.5000  4 Te 3.20, 2 Hg 3.20
Pr6 0.5000 0.5000 0.8334  4 Te 3.19-3.20, 2 Hg 3.19
Hg1 0.0000 0.5000 0.0000  6 Pr 3.19-3.20
Hg2 0.5000 0.0000 0.5000  6 Pr 3.19-3.20
Te1 0.0000 0.5000 0.3328  6 Pr 3.19-3.20
Te2 0.0000 0.5000 0.6672  6 Pr 3.19-3.20
Te3 0.5000 0.0000 0.1672  6 Pr 3.19-3.20
Te4 0.5000 0.0000 0.8328  6 Pr 3.19-3.20

Results
- Symmetry: No. 71
- Energy above the lowest structure with this stoichiometry: 0 meV/atom
- DOS at the Fermi energy: 3.83 states/eV/f.u.
- Raw formation energy: -6.78 eV per formula unit

=====

[3]
## Ac2ErS5 (PBE-GGA)

Data for Ac2ErS5 after structural relaxation.

Unit cell a=7.8723 b=7.8723 c=13.1446 alpha=90.00 beta=90.00 gamma=138.48
With the nearest neighbours (Å) after each atom.
Fractional positions:
Ac1 0.1417 0.8583 0.5643  6 S 2.92-3.01
Ac2 0.1417 0.8583 0.9357  6 S 2.92-3.01
Ac3 0.8583 0.1417 0.0643  6 S 2.92-3.01
Ac4 0.8583 0.1417 0.4357  6 S 2.92-3.01
Er1 0.2028 0.7972 0.2500  6 S 2.67-2.85
Er2 0.7972 0.2028 0.7500  6 S 2.67-2.85
S1 0.0490 0.9510 0.1394  1 Er 2.69, 1 S 2.91, 2 Ac 2.98-3.01
S2 0.0490 0.9510 0.3606  1 Er 2.69, 1 S 2.91, 2 Ac 2.98-3.01
S3 0.2563 0.7437 0.7500  2 Er 2.85, 2 Ac 2.97
S4 0.3007 0.6993 0.0786  1 Er 2.67, 2 Ac 2.92
S5 0.3007 0.6993 0.4214  1 Er 2.67, 2 Ac 2.92
S6 0.6993 0.3007 0.5786  1 Er 2.67, 2 Ac 2.92
S7 0.6993 0.3007 0.9214  1 Er 2.67, 2 Ac 2.92
S8 0.7437 0.2563 0.2500  2 Er 2.85, 2 Ac 2.97
S9 0.9510 0.0490 0.6394  1 Er 2.69, 1 S 2.91, 2 Ac 2.98-3.01
S10 0.9510 0.0490 0.8606  1 Er 2.69, 1 S 2.91, 2 Ac 2.98-3.01

Results
- Symmetry: No. 63
- DOS at the Fermi energy: 0.57 states/eV/f.u.
- Raw formation energy: -14.65 eV per formula unit

=====

[4]
## TaTi2Be (PBE-GGA)

Data for TaTi2Be after structural relaxation.

Unit cell a=3.9177 b=3.9177 c=3.9802 alpha=90.00 beta=90.00 gamma=90.00
With the nearest neighbours (Å) after each atom.
Fractional positions:
Ta1 0.0000 0.0000 0.0000  4 Be 2.77, 8 Ti 2.79
Ti1 0.0000 0.5000 0.5000  4 Ti 2.77, 4 Ta 2.79, 4 Be 2.79
Ti2 0.5000 0.0000 0.5000  4 Ti 2.77, 4 Ta 2.79, 4 Be 2.79
Be1 0.5000 0.5000 0.0000  4 Ta 2.77, 8 Ti 2.79

Results
- Symmetry: No. 123
- Energy above the lowest structure with this stoichiometry: 0 meV/atom
- DOS at the Fermi energy: 2.78 states/eV/f.u.

=====

[5]
## Zn2Ga5Ag (PBE-GGA)

Data for Zn2Ga5Ag after structural relaxation.

Unit cell a=7.0575 b=7.0575 c=8.8327 alpha=100.17 beta=100.17 gamma=42.71
With the nearest neighbours (Å) after each atom.
Fractional positions:
Zn1 0.0014 0.2001 0.0507  7 Ga 2.65-2.90, 1 Ag 2.76, 1 Zn 2.82
Zn2 0.2001 0.0014 0.5507  7 Ga 2.65-2.90, 1 Ag 2.76, 1 Zn 2.82
Zn3 0.7999 0.9986 0.4493  7 Ga 2.65-2.90, 1 Ag 2.76, 1 Zn 2.82
Zn4 0.9986 0.7999 0.9493  7 Ga 2.65-2.90, 1 Ag 2.76, 1 Zn 2.82
Ga1 0.0241 0.4092 0.8081  3 Zn 2.71-2.90, 2 Ag 2.82-2.85, 3 Ga 2.82-2.96
Ga2 0.1196 0.8804 0.2500  4 Zn 2.65-2.74, 4 Ga 2.75-2.82
Ga3 0.3569 0.5275 0.6046  1 Ag 2.66, 3 Ga 2.72-2.75, 2 Zn 2.75-2.85
Ga4 0.4092 0.0241 0.3081  3 Zn 2.71-2.90, 2 Ag 2.82-2.85, 3 Ga 2.82-2.96
Ga5 0.4725 0.6431 0.8954  1 Ag 2.66, 3 Ga 2.72-2.75, 2 Zn 2.75-2.85
Ga6 0.5275 0.3569 0.1046  1 Ag 2.66, 3 Ga 2.72-2.75, 2 Zn 2.75-2.85
Ga7 0.5908 0.9759 0.6919  3 Zn 2.71-2.90, 2 Ag 2.82-2.85, 3 Ga 2.82-2.96
Ga8 0.6431 0.4725 0.3954  1 Ag 2.66, 3 Ga 2.72-2.75, 2 Zn 2.75-2.85
Ga9 0.8804 0.1196 0.7500  4 Zn 2.65-2.74, 4 Ga 2.75-2.82
Ga10 0.9759 0.5908 0.1919  3 Zn 2.71-2.90, 2 Ag 2.82-2.85, 3 Ga 2.82-2.96
Ag1 0.0000 0.5000 0.5000  6 Ga 2.66-2.85, 2 Zn 2.76
Ag2 0.5000 0.0000 0.0000  6 Ga 2.66-2.85, 2 Zn 2.76

Results
- Symmetry: No. 15
- DOS at the Fermi energy: 2.07 states/eV/f.u.
- Total DFT energy (no corrections): -0.1855 Ry/atom

=====

[6]
## Cu2TcSe (PBE-GGA)

Data for Cu2TcSe after structural relaxation.

Unit cell a=7.0818 b=7.0818 c=4.8665 alpha=90.00 beta=90.00 gamma=90.00
With the nearest neighbours (Å) after each atom.
Fractional positions:
Cu1 0.2310 0.2500 0.1250  2 Cu 2.45, 2 Se 2.49, 2 Tc 2.67
Cu2 0.2500 0.7310 0.3750  2 Cu 2.45, 2 Se 2.49, 2 Tc 2.67
Cu3 0.2500 0.7690 0.8750  2 Cu 2.45, 2 Se 2.49, 2 Tc 2.67
Cu4 0.2690 0.2500 0.6250  2 Cu 2.45, 2 Se 2.49, 2 Tc 2.67
Cu5 0.7310 0.7500 0.6250  2 Cu 2.45, 2 Se 2.49, 2 Tc 2.67
Cu6 0.7500 0.2310 0.8750  2 Cu 2.45, 2 Se 2.49, 2 Tc 2.67
Cu7 0.7500 0.2690 0.3750  2 Cu 2.45, 2 Se 2.49, 2 Tc 2.67
Cu8 0.7690 0.7500 0.1250  2 Cu 2.45, 2 Se 2.49, 2 Tc 2.67
Tc1 0.0000 0.0000 0.5000  2 Se 2.43, 4 Cu 2.67
Tc2 0.0000 0.5000 0.7500  2 Se 2.43, 4 Cu 2.67
Tc3 0.5000 0.0000 0.2500  2 Se 2.43, 4 Cu 2.67
Tc4 0.5000 0.5000 0.0000  2 Se 2.43, 4 Cu 2.67
Se1 0.0000 0.0000 0.0000  2 Tc 2.43, 4 Cu 2.49
Se2 0.0000 0.5000 0.2500  2 Tc 2.43, 4 Cu 2.49
Se3 0.5000 0.0000 0.7500  2 Tc 2.43, 4 Cu 2.49
Se4 0.5000 0.5000 0.5000  2 Tc 2.43, 4 Cu 2.49

Results
- Symmetry: No. 122
- DOS at the Fermi energy: 3.39 states/eV/f.u.
- Raw formation energy: 1.87 eV per formula unit

=====

[7]
## PrMg9Zn2 (PBE-GGA)

Data for PrMg9Zn2 after structural relaxation.

Unit cell a=9.2392 b=9.2392 c=9.2392 alpha=99.72 beta=99.72 gamma=131.48
With the nearest neighbours (Å) after each atom.
Fractional positions:
Pr1 0.3750 0.6250 0.7500  18 Mg 3.62-3.90
Pr2 0.6250 0.3750 0.2500  18 Mg 3.62-3.90
Mg1 0.1250 0.8750 0.2500  4 Zn 3.13, 8 Mg 3.14
Mg2 0.1303 0.5600 0.3262  2 Zn 2.86-2.88, 7 Mg 2.91-3.20
Mg3 0.1303 0.8041 0.5703  2 Zn 2.86-2.88, 7 Mg 2.91-3.20
Mg4 0.1959 0.2662 0.3262  2 Zn 2.86-2.88, 7 Mg 2.91-3.20
Mg5 0.1959 0.8697 0.9297  2 Zn 2.86-2.88, 7 Mg 2.91-3.20
Mg6 0.2662 0.1959 0.8262  2 Zn 2.86-2.88, 7 Mg 2.91-3.20
Mg7 0.2662 0.4400 0.0703  2 Zn 2.86-2.88, 7 Mg 2.91-3.20
Mg8 0.4400 0.2662 0.5703  2 Zn 2.86-2.88, 7 Mg 2.91-3.20
Mg9 0.4400 0.8697 0.1738  2 Zn 2.86-2.88, 7 Mg 2.91-3.20
Mg10 0.5600 0.1303 0.8262  2 Zn 2.86-2.88, 7 Mg 2.91-3.20
Mg11 0.5600 0.7338 0.4297  2 Zn 2.86-2.88, 7 Mg 2.91-3.20
Mg12 0.7338 0.5600 0.9297  2 Zn 2.86-2.88, 7 Mg 2.91-3.20
Mg13 0.7338 0.8041 0.1738  2 Zn 2.86-2.88, 7 Mg 2.91-3.20
Mg14 0.8041 0.1303 0.0703  2 Zn 2.86-2.88, 7 Mg 2.91-3.20
Mg15 0.8041 0.7338 0.6738  2 Zn 2.86-2.88, 7 Mg 2.91-3.20
Mg16 0.8697 0.1959 0.4297  2 Zn 2.86-2.88, 7 Mg 2.91-3.20
Mg17 0.8697 0.4400 0.6738  2 Zn 2.86-2.88, 7 Mg 2.91-3.20
Mg18 0.8750 0.1250 0.7500  4 Zn 3.13, 8 Mg 3.14
Zn1 0.0000 0.0000 0.0000  10 Mg 2.86-3.13
Zn2 0.0000 0.0000 0.5000  10 Mg 2.86-3.13
Zn3 0.0000 0.5000 0.0000  10 Mg 2.86-3.13
Zn4 0.5000 0.0000 0.5000  10 Mg 2.86-3.13

Results
- Symmetry: No. 141
- DOS at the Fermi energy: 5.80 states/eV/f.u.
- Total DFT energy (no corrections): -0.1390 Ry/atom

=====

[8]
## Ba3Li2Mg2Pb4 (PBE-GGA)

Data for Ba3Li2Mg2Pb4 after structural relaxation.

Unit cell a=4.9734 b=4.9734 c=17.9440 alpha=90.00 beta=90.00 gamma=120.00
With the nearest neighbours (Å) after each atom.
Fractional positions:
Ba1 0.0000 0.0000 0.0000  6 Pb 3.73, 6 Li 3.76
Ba2 0.0000 0.0000 0.2684  6 Pb 3.60-3.76, 3 Li 3.74
Ba3 0.0000 0.0000 0.7316  6 Pb 3.60-3.76, 3 Li 3.74
Li1 0.3333 0.6667 0.1352  3 Pb 2.87
Li2 0.6667 0.3333 0.8648  3 Pb 2.87
Mg1 0.3333 0.6667 0.5557  4 Pb 2.98-3.04
Mg2 0.6667 0.3333 0.4443  4 Pb 2.98-3.04
Pb1 0.3333 0.6667 0.3895  4 Mg 2.98-3.04
Pb2 0.3333 0.6667 0.8669  3 Li 2.87
Pb3 0.6667 0.3333 0.1331  3 Li 2.87
Pb4 0.6667 0.3333 0.6105  4 Mg 2.98-3.04

Results
- Symmetry: No. 164
- DOS at the Fermi energy: 14.71 states/eV/f.u.
- Total DFT energy (no corrections): -0.2065 Ry/atom

=====

[9]
## Th2ZnInFe (PBE-GGA)

Data for Th2ZnInFe after structural relaxation.

Unit cell a=6.9480 b=4.2334 c=8.6931 alpha=90.00 beta=112.87 gamma=90.00
With the nearest neighbours (Å) after each atom.
Fractional positions:
Th1 0.0501 0.2500 0.2002  3 Fe 2.74-2.98
Th2 0.4447 0.7500 0.1390  3 Fe 2.67-2.84
Th3 0.5553 0.2500 0.8610  3 Fe 2.67-2.84
Th4 0.9499 0.7500 0.7998  3 Fe 2.74-2.98
Zn1 0.1020 0.2500 0.6007  1 Fe 2.66, 2 Zn 2.76, 3 In 2.92-2.98
Zn2 0.8980 0.7500 0.3993  1 Fe 2.66, 2 Zn 2.76, 3 In 2.92-2.98
In1 0.3534 0.7500 0.5248  3 Zn 2.92-2.98, 2 In 3.08
In2 0.6466 0.2500 0.4752  3 Zn 2.92-2.98, 2 In 3.08
Fe1 0.2141 0.2500 0.9307  1 Zn 2.66, 6 Th 2.67-2.98
Fe2 0.7859 0.7500 0.0693  1 Zn 2.66, 6 Th 2.67-2.98

Results
- Symmetry: No. 11
- DOS at the Fermi energy: 3.91 states/eV/f.u.
- Total DFT energy (no corrections): -0.4137 Ry/atom

=====

[10]
## HgSb2Pb9 (PBE-GGA)

Data for HgSb2Pb9 after structural relaxation.

Unit cell a=7.2506 b=5.9021 c=9.3981 alpha=90.00 beta=106.93 gamma=90.00
With the nearest neighbours (Å) after each atom.
Fractional positions:
Hg1 0.0000 0.0000 0.0000  6 Pb 3.33-3.42, 2 Sb 3.46
Sb1 0.3466 0.0000 0.3422  6 Pb 3.13-3.42, 1 Sb 3.15, 1 Hg 3.46
Sb2 0.6534 0.0000 0.6578  6 Pb 3.13-3.42, 1 Sb 3.15, 1 Hg 3.46
Pb1 0.0000 0.0000 0.5000  2 Sb 3.27, 6 Pb 3.36-3.39
Pb2 0.1657 0.5000 0.6670  8 Pb 3.24-3.40
Pb3 0.1724 0.5000 0.1708  4 Pb 3.23-3.45, 2 Hg 3.42, 2 Sb 3.42
Pb4 0.3434 0.0000 0.8297  1 Sb 3.13, 1 Hg 3.33, 6 Pb 3.34-3.40
Pb5 0.5000 0.5000 0.0000  8 Pb 3.23-3.39
Pb6 0.5000 0.5000 0.5000  4 Pb 3.25-3.31, 4 Sb 3.34
Pb7 0.6566 0.0000 0.1703  1 Sb 3.13, 1 Hg 3.33, 6 Pb 3.34-3.40
Pb8 0.8276 0.5000 0.8292  4 Pb 3.23-3.45, 2 Hg 3.42, 2 Sb 3.42
Pb9 0.8343 0.5000 0.3330  8 Pb 3.24-3.40

Results
- Symmetry: No. 10
- DOS at the Fermi energy: 6.12 states/eV/f.u.
- Raw formation energy: 1.07 eV per formula unit

=====

[11]
## BaSrCa2Si (PBE-GGA)

Data for BaSrCa2Si after structural relaxation.

Unit cell a=5.8902 b=5.8902 c=6.5079 alpha=90.00 beta=90.00 gamma=90.00
With the nearest neighbours (Å) after each atom.
Fractional positions:
Ba1 0.0000 0.0000 0.0000  2 Si 3.25
Sr1 0.5000 0.5000 0.0000  4 Ba 4.16, 8 Ca 4.39
Ca1 0.0000 0.5000 0.5000  2 Si 2.95
Ca2 0.5000 0.0000 0.5000  2 Si 2.95
Si1 0.0000 0.0000 0.5000  4 Ca 2.95, 2 Ba 3.25

Results
- Symmetry: No. 123
- Energy above the lowest structure with this stoichiometry: 29 meV/atom
- DOS at the Fermi energy: 5.39 states/eV/f.u.
- Raw formation energy: -0.40 eV per formula unit

=====

[12]
## Tb9PmNd2 (PBE-GGA)

Data for Tb9PmNd2 after structural relaxation.

Unit cell a=11.3544 b=11.3544 c=3.5193 alpha=90.00 beta=90.00 gamma=120.00
With the nearest neighbours (Å) after each atom.
Fractional positions:
Tb1 0.0000 0.5000 0.0000  2 Nd 3.28, 10 Tb 3.52-3.65
Tb2 0.1746 0.3491 0.5000  8 Tb 3.43-3.65, 2 Nd 3.58
Tb3 0.1746 0.8254 0.5000  8 Tb 3.43-3.65, 2 Nd 3.58
Tb4 0.3491 0.1746 0.5000  8 Tb 3.43-3.65, 2 Nd 3.58
Tb5 0.5000 0.0000 0.0000  2 Nd 3.28, 10 Tb 3.52-3.65
Tb6 0.5000 0.5000 0.0000  2 Nd 3.28, 10 Tb 3.52-3.65
Tb7 0.6509 0.8254 0.5000  8 Tb 3.43-3.65, 2 Nd 3.58
Tb8 0.8254 0.1746 0.5000  8 Tb 3.43-3.65, 2 Nd 3.58
Tb9 0.8254 0.6509 0.5000  8 Tb 3.43-3.65, 2 Nd 3.58
Pm1 0.0000 0.0000 0.0000  2 Pm 3.52, 12 Tb 3.86
Nd1 0.3333 0.6667 0.0000  9 Tb 3.28-3.58, 2 Nd 3.52
Nd2 0.6667 0.3333 0.0000  9 Tb 3.28-3.58, 2 Nd 3.52

Results
- Symmetry: No. 191
- Energy above the lowest structure with this stoichiometry: 37 meV/atom
- DOS at the Fermi energy: 16.96 states/eV/f.u.

=====

Repeat the sixth record exactly.
## Cu2TcSe (PBE-GGA)

Data for Cu2TcSe after structural relaxation.

Unit cell a=7.0818 b=7.0818 c=4.8665 alpha=90.00 beta=90.00 gamma=90.00
With the nearest neighbours (Å) after each atom.
Fractional positions:
Cu1 0.2310 0.2500 0.1250  2 Cu 2.45, 2 Se 2.49, 2 Tc 2.67
Cu2 0.2500 0.7310 0.3750  2 Cu 2.45, 2 Se 2.49, 2 Tc 2.67
Cu3 0.2500 0.7690 0.8750  2 Cu 2.45, 2 Se 2.49, 2 Tc 2.67
Cu4 0.2690 0.2500 0.6250  2 Cu 2.45, 2 Se 2.49, 2 Tc 2.67
Cu5 0.7310 0.7500 0.6250  2 Cu 2.45, 2 Se 2.49, 2 Tc 2.67
Cu6 0.7500 0.2310 0.8750  2 Cu 2.45, 2 Se 2.49, 2 Tc 2.67
Cu7 0.7500 0.2690 0.3750  2 Cu 2.45, 2 Se 2.49, 2 Tc 2.67
Cu8 0.7690 0.7500 0.1250  2 Cu 2.45, 2 Se 2.49, 2 Tc 2.67
Tc1 0.0000 0.0000 0.5000  2 Se 2.43, 4 Cu 2.67
Tc2 0.0000 0.5000 0.7500  2 Se 2.43, 4 Cu 2.67
Tc3 0.5000 0.0000 0.2500  2 Se 2.43, 4 Cu 2.67
Tc4 0.5000 0.5000 0.0000  2 Se 2.43, 4 Cu 2.67
Se1 0.0000 0.0000 0.0000  2 Tc 2.43, 4 Cu 2.49
Se2 0.0000 0.5000 0.2500  2 Tc 2.43, 4 Cu 2.49
Se3 0.5000 0.0000 0.7500  2 Tc 2.43, 4 Cu 2.49
Se4 0.5000 0.5000 0.5000  2 Tc 2.43, 4 Cu 2.49

Results
- Symmetry: No. 122
- DOS at the Fermi energy: 3.39 states/eV/f.u.
- Raw formation energy: 1.87 eV per formula unit